ScZnTe2O8 PBE-GGA optimized geometry; ΔE_f (raw) = -1505.1 kJ/mol of formula units; space group = I-4m2
1.0
-3.473 3.473 3.359
3.473 -3.473 3.359
3.473 3.473 -3.359
Sc Zn Te O
1 1 2 8
Direct
0.000 0.000 0.000
0.750 0.250 0.500
0.250 0.750 0.500
0.500 0.500 0.000
0.058 0.360 0.302
0.058 0.756 0.698
0.107 0.301 0.806
0.244 0.942 0.302
0.495 0.301 0.194
0.640 0.942 0.698
0.699 0.505 0.806
0.699 0.893 0.194

ScZn2TeO8 PBE-GGA optimized geometry; ΔE_f (raw) = -1275.2 kJ/mol of formula units; space group = I-4m2
1.0
-3.292 3.292 3.315
3.292 -3.292 3.315
3.292 3.292 -3.315
Sc Zn Te O
1 2 1 8
Direct
0.000 0.000 0.000
0.250 0.750 0.500
0.500 0.500 0.000
0.750 0.250 0.500
0.022 0.345 0.323
0.022 0.699 0.677
0.090 0.289 0.801
0.301 0.978 0.323
0.488 0.289 0.199
0.655 0.978 0.677
0.711 0.512 0.801
0.711 0.910 0.199

Th3Sc5O12 PBE-GGA optimized geometry; ΔE_f (raw) = -6419.7 kJ/mol of formula units; space group = Ia-3d
1.0
-6.565 6.565 6.565
6.565 -6.565 6.565
6.565 6.565 -6.565
Th Sc O
12 20 48
Direct
0.125 0.250 0.375
0.125 0.375 0.750
0.250 0.375 0.125
0.250 0.875 0.625
0.375 0.125 0.250
0.375 0.750 0.125
0.625 0.250 0.875
0.625 0.875 0.750
0.750 0.125 0.375
0.750 0.625 0.875
0.875 0.625 0.250
0.875 0.750 0.625
0.000 0.000 0.000
0.000 0.000 0.500
0.000 0.500 0.000
0.000 0.500 0.500
0.125 0.750 0.875
0.125 0.875 0.250
0.250 0.125 0.875
0.250 0.625 0.375
0.375 0.250 0.625
0.375 0.625 0.750
0.500 0.000 0.000
0.500 0.000 0.500
0.500 0.500 0.000
0.500 0.500 0.500
0.625 0.375 0.250
0.625 0.750 0.375
0.750 0.375 0.625
0.750 0.875 0.125
0.875 0.125 0.750
0.875 0.250 0.125
0.035 0.212 0.127
0.035 0.323 0.908
0.085 0.712 0.677
0.085 0.873 0.408
0.092 0.627 0.415
0.092 0.965 0.677
0.127 0.035 0.212
0.127 0.592 0.915
0.177 0.212 0.585
0.177 0.465 0.592
0.212 0.127 0.035
0.212 0.585 0.177
0.288 0.323 0.915
0.288 0.465 0.373
0.323 0.908 0.035
0.323 0.915 0.288
0.373 0.288 0.465
0.373 0.585 0.908
0.408 0.085 0.873
0.408 0.823 0.535
0.415 0.092 0.627
0.415 0.823 0.788
0.465 0.373 0.288
0.465 0.592 0.177
0.535 0.408 0.823
0.535 0.627 0.712
0.585 0.177 0.212
0.585 0.908 0.373
0.592 0.177 0.465
0.592 0.915 0.127
0.627 0.415 0.092
0.627 0.712 0.535
0.677 0.085 0.712
0.677 0.092 0.965
0.712 0.535 0.627
0.712 0.677 0.085
0.788 0.415 0.823
0.788 0.873 0.965
0.823 0.535 0.408
0.823 0.788 0.415
0.873 0.408 0.085
0.873 0.965 0.788
0.908 0.035 0.323
0.908 0.373 0.585
0.915 0.127 0.592
0.915 0.288 0.323
0.965 0.677 0.092
0.965 0.788 0.873

Th4ScO10 PBE-GGA optimized geometry; ΔE_f (raw) = -5210.2 kJ/mol of formula units; space group = R-3m
1.0
1.973 1.139 15.656
-1.973 1.139 15.656
0.000 -2.279 15.656
Th Sc O
4 1 10
Direct
0.104 0.104 0.104
0.299 0.299 0.299
0.701 0.701 0.701
0.896 0.896 0.896
0.500 0.500 0.500
0.052 0.052 0.052
0.156 0.156 0.156
0.246 0.246 0.246
0.351 0.351 0.351
0.455 0.455 0.455
0.545 0.545 0.545
0.649 0.649 0.649
0.754 0.754 0.754
0.844 0.844 0.844
0.948 0.948 0.948

ThScO4 PBE-GGA optimized geometry; ΔE_f (raw) = -1581.8 kJ/mol of formula units; space group = P4/mmm
1.0
3.661 0.000 0.000
0.000 3.661 0.000
0.000 0.000 5.993
Th Sc O
1 1 4
Direct
0.000 0.000 0.000
0.000 0.000 0.500
0.000 0.500 0.262
0.000 0.500 0.738
0.500 0.000 0.262
0.500 0.000 0.738

ThSc3O PBE-GGA optimized geometry; ΔE_f (raw) = -479.4 kJ/mol of formula units; space group = Pm-3m
1.0
4.655 0.000 0.000
0.000 4.655 0.000
0.000 0.000 4.655
Th Sc O
1 3 1
Direct
0.000 0.000 0.000
0.000 0.500 0.500
0.500 0.000 0.500
0.500 0.500 0.000
0.500 0.500 0.500

| no. | Fermi-level density of states (states/eV per cell) |
| --- | --- |
| 1 | 2.2 |
| 2 | 10.1 |
| 3 | 57.8 |
| 4 | 4.7 |
| 5 | 1.5 |
| 6 | 4.2 |